The following is a GGA-PBE calculation of a relaxed BiPW2I crystal, from Alexandria.

Properties
**Space-group type**: P4/mmm (123)
**Total moment**: 1.3 μB/cell
**Volume**: 28.4 Å³ per atom
**Formation energy without anion corrections**: 2.8107 eV/atom

Geometry as POSCAR:
```
BiPW2I
1.0
4.915 0.000 0.000
0.000 5.874 0.000
0.000 0.000 4.915
W P I Bi
2 1 1 1
direct
0.500 0.000 0.000
0.000 0.000 0.500
0.500 0.500 0.500
0.000 0.000 0.000
0.000 0.500 0.000
```